(1)
Entry from Alexandria via LeMat-Bulk: crystalline MnNiIr at its relaxed geometry (GGA-PBE).

As for the formation energy: 0.02 eV/atom. Its crystal system is trigonal.

It has space group P3m1 (No. 156), with a = 2.6455 Å, b = 2.6455 Å, c = 6.2303 Å, α = 90.00°, β = 90.00° and γ = 120.00°. The asymmetric unit holds Mn at (0.0000, 0.0000, 0.0000), Ni at (0.6667, 0.3333, 0.3164) and Ir at (0.3333, 0.6667, 0.6678).

(2)
Entry from Alexandria via LeMat-Bulk: crystalline Mn2NiIr at its relaxed geometry (GGA-PBE).

As for the formation energy: 0.08 eV/atom. Its crystal system is cubic.

It has space group F-43m (No. 216), with a = 5.857 Å, b = 5.857 Å, c = 5.857 Å, α = 90.00°, β = 90.00° and γ = 90.00°. The asymmetric unit holds Mn at (0.000, 0.000, 0.000), Mn at (0.250, 0.250, 0.250), Ni at (0.000, 0.000, 0.500) and Ir at (0.250, 0.250, 0.750).

(3)
Entry from Alexandria via LeMat-Bulk: crystalline Mn3NiIr at its relaxed geometry (GGA-PBE).

As for the formation energy: 1.25 eV/atom. Its crystal system is cubic.

It has space group Pm-3m (No. 221), with a = 4.754 Å, b = 4.754 Å, c = 4.754 Å, α = 90.00°, β = 90.00° and γ = 90.00°. The asymmetric unit holds Mn at (0.000, 0.000, 0.500), Ni at (0.500, 0.500, 0.500) and Ir at (0.000, 0.000, 0.000).

(4)
Entry from Alexandria via LeMat-Bulk: crystalline MnNi2Ir at its relaxed geometry (GGA-PBE).

As for the formation energy: -0.08 eV/atom. Its crystal system is tetragonal.

It has space group I4/mmm (No. 139), with a = 3.652 Å, b = 3.652 Å, c = 7.340 Å, α = 90.00°, β = 90.00° and γ = 90.00°. The asymmetric unit holds Mn at (0.000, 0.000, 0.000), Ni at (0.000, 0.500, 0.250) and Ir at (0.000, 0.000, 0.500).

(5)
Entry from Alexandria via LeMat-Bulk: crystalline Mn2NiIr at its relaxed geometry (GGA-PBE).

As for the formation energy: -0.18 eV/atom. Its crystal system is tetragonal.

It has space group I-4m2 (No. 119), with a = 3.693 Å, b = 3.693 Å, c = 7.414 Å, α = 90.00°, β = 90.00° and γ = 90.00°. The asymmetric unit holds Mn at (0.000, 0.000, 0.000), Mn at (0.000, 0.500, 0.250), Ni at (0.000, 0.500, 0.750) and Ir at (0.000, 0.000, 0.500).

(6)
Entry from Alexandria via LeMat-Bulk: crystalline MnNi2Ir at its relaxed geometry (GGA-PBE).

As for the formation energy: -0.02 eV/atom. Its crystal system is monoclinic.

It has space group C2/m (No. 12), with a = 8.591 Å, b = 2.678 Å, c = 4.434 Å, α = 90.00°, β = 101.38° and γ = 90.00°. The asymmetric unit holds Mn at (0.000, 0.000, 0.000), Ni at (0.250, 0.000, 0.748) and Ir at (0.000, 0.500, 0.500).

(7)
Entry from Alexandria via LeMat-Bulk: crystalline MnNi2Ir at its relaxed geometry (GGA-PBE).

As for the formation energy: -0.02 eV/atom. Its crystal system is orthorhombic.

It has space group Pmmm (No. 47), with a = 2.660 Å, b = 3.619 Å, c = 5.181 Å, α = 90.00°, β = 90.00° and γ = 90.00°. The asymmetric unit holds Mn at (0.000, 0.000, 0.000), Ni at (0.500, 0.500, 0.252) and Ir at (0.000, 0.000, 0.500).

(8)
Entry from Alexandria via LeMat-Bulk: crystalline MnNiIr2Os at its relaxed geometry (GGA-PBE).

As for the formation energy: 1.52 eV/atom. Its crystal system is tetragonal.

It has space group P4/mmm (No. 123), with a = 4.731 Å, b = 4.731 Å, c = 4.496 Å, α = 90.00°, β = 90.00° and γ = 90.00°. The asymmetric unit holds Mn at (0.000, 0.000, 0.000), Ni at (0.500, 0.500, 0.000), Ir at (0.000, 0.500, 0.500) and Os at (0.500, 0.500, 0.500).

(9)
Entry from Alexandria via LeMat-Bulk: crystalline PaMnNiIr at its relaxed geometry (GGA-PBE).

As for the formation energy: -0.23 eV/atom. Its crystal system is cubic.

It has space group F-43m (No. 216), with a = 6.523 Å, b = 6.523 Å, c = 6.523 Å, α = 90.00°, β = 90.00° and γ = 90.00°. The asymmetric unit holds Pa at (0.000, 0.000, 0.000), Mn at (0.000, 0.000, 0.500), Ni at (0.250, 0.250, 0.750) and Ir at (0.250, 0.250, 0.250).

(10)
Entry from Alexandria via LeMat-Bulk: crystalline MnNiIrRu at its relaxed geometry (GGA-PBE).

As for the formation energy: 0.07 eV/atom. Its crystal system is cubic.

It has space group F-43m (No. 216), with a = 5.928 Å, b = 5.928 Å, c = 5.928 Å, α = 90.00°, β = 90.00° and γ = 90.00°. The asymmetric unit holds Mn at (0.000, 0.000, 0.000), Ni at (0.000, 0.000, 0.500), Ir at (0.250, 0.250, 0.250) and Ru at (0.250, 0.250, 0.750).

(11)
Entry from Alexandria via LeMat-Bulk: crystalline ScMnNiIr at its relaxed geometry (GGA-PBE).

As for the formation energy: -0.42 eV/atom. Its crystal system is cubic.

It has space group F-43m (No. 216), with a = 6.215 Å, b = 6.215 Å, c = 6.215 Å, α = 90.00°, β = 90.00° and γ = 90.00°. The asymmetric unit holds Sc at (0.000, 0.000, 0.000), Mn at (0.000, 0.000, 0.500), Ni at (0.250, 0.250, 0.250) and Ir at (0.250, 0.250, 0.750).

(12)
Entry from Alexandria via LeMat-Bulk: crystalline MnSiNiIr at its relaxed geometry (GGA-PBE).

For the uncorrected formation energy, the calculation gives -0.356 eV per atom. Its crystal system is cubic.

It has space group F-43m (No. 216), with a = 5.887 Å, b = 5.887 Å, c = 5.887 Å, α = 90.00°, β = 90.00° and γ = 90.00°. The asymmetric unit holds Mn at (0.000, 0.000, 0.000), Si at (0.000, 0.000, 0.500), Ni at (0.250, 0.250, 0.250) and Ir at (0.250, 0.250, 0.750).

(13)
Entry from Alexandria via LeMat-Bulk: crystalline Ta2MnNiIr at its relaxed geometry (GGA-PBE).

As for the formation energy: 1.26 eV/atom. Its crystal system is tetragonal.

It has space group P4/mmm (No. 123), with a = 4.800 Å, b = 4.800 Å, c = 4.705 Å, α = 90.00°, β = 90.00° and γ = 90.00°. The asymmetric unit holds Ta at (0.000, 0.500, 0.000), Mn at (0.000, 0.000, 0.500), Ni at (0.500, 0.500, 0.500) and Ir at (0.000, 0.000, 0.000).

(14)
Entry from Alexandria via LeMat-Bulk: crystalline MnTlNi2Ir at its relaxed geometry (GGA-PBE).

As for the formation energy: 0.91 eV/atom. Its crystal system is tetragonal.

It has space group P4/mmm (No. 123), with a = 4.650 Å, b = 4.650 Å, c = 4.827 Å, α = 90.00°, β = 90.00° and γ = 90.00°. The asymmetric unit holds Mn at (0.000, 0.000, 0.000), Tl at (0.500, 0.500, 0.000), Ni at (0.000, 0.500, 0.500) and Ir at (0.000, 0.000, 0.500).

(15)
Entry from Alexandria via LeMat-Bulk: crystalline TmMnNiIr at its relaxed geometry (GGA-PBE).

As for the formation energy: -0.32 eV/atom. Its crystal system is cubic.

It has space group F-43m (No. 216), with a = 6.389 Å, b = 6.389 Å, c = 6.389 Å, α = 90.00°, β = 90.00° and γ = 90.00°. The asymmetric unit holds Tm at (0.000, 0.000, 0.000), Mn at (0.000, 0.000, 0.500), Ni at (0.250, 0.250, 0.250) and Ir at (0.250, 0.250, 0.750).

(16)
Entry from Alexandria via LeMat-Bulk: crystalline MnNi2IrW at its relaxed geometry (GGA-PBE).

As for the formation energy: 1.32 eV/atom. Its crystal system is tetragonal.

It has space group P4/mmm (No. 123), with a = 4.175 Å, b = 4.175 Å, c = 4.353 Å, α = 90.00°, β = 90.00° and γ = 90.00°. The asymmetric unit holds Mn at (0.000, 0.000, 0.000), Ni at (0.000, 0.500, 0.000), Ir at (0.500, 0.500, 0.500) and W at (0.000, 0.000, 0.500).

(17)
Entry from Alexandria via LeMat-Bulk: crystalline NpMnIr at its relaxed geometry (GGA-PBE).

As for the formation energy: 0.04 eV/atom. Its crystal system is monoclinic.

It has space group P2_1/m (No. 11), with a = 2.938 Å, b = 4.519 Å, c = 6.782 Å, α = 90.00°, β = 94.04° and γ = 90.00°. The asymmetric unit holds Np at (0.121, 0.250, 0.070), Mn at (0.321, 0.250, 0.764) and Ir at (0.243, 0.750, 0.562).

(18)
Entry from Alexandria via LeMat-Bulk: crystalline NpMnIr at its relaxed geometry (GGA-PBE).

As for the formation energy: 0.18 eV/atom. Its crystal system is trigonal.

It has space group P3m1 (No. 156), with a = 4.5695 Å, b = 4.5695 Å, c = 2.8469 Å, α = 90.00°, β = 90.00° and γ = 120.00°. The asymmetric unit holds Np at (0.0000, 0.0000, 0.0000), Mn at (0.6667, 0.3333, 0.4090) and Ir at (0.3333, 0.6667, 0.6338).

(19)
Entry from Alexandria via LeMat-Bulk: crystalline NpMnP2Ir2 at its relaxed geometry (GGA-PBE).

As for the formation energy: -0.50 eV/atom. Its crystal system is orthorhombic.

It has space group Pmc2_1 (No. 26), with a = 3.805 Å, b = 6.506 Å, c = 7.459 Å, α = 90.00°, β = 90.00° and γ = 90.00°. The asymmetric unit holds Np at (0.000, 0.127, 0.000), Mn at (0.500, 0.154, 0.389), P at (0.000, 0.339, 0.304), P at (0.500, 0.129, 0.704), Ir at (0.000, 0.366, 0.611) and Ir at (0.500, 0.439, 0.876).

(20)
Entry from Alexandria via LeMat-Bulk: crystalline NpMnP2Ir at its relaxed geometry (GGA-PBE).

As for the formation energy: -0.65 eV/atom. Its crystal system is tetragonal.

It has space group I-4m2 (No. 119), with a = 3.930 Å, b = 3.930 Å, c = 9.834 Å, α = 90.00°, β = 90.00° and γ = 90.00°. The asymmetric unit holds Np at (0.000, 0.000, 0.000), Mn at (0.000, 0.500, 0.250), P at (0.000, 0.000, 0.377) and Ir at (0.000, 0.500, 0.750).